Crystalline HgGe3Rh at its relaxed geometry, computed with PBEsol.

Cell and atoms, written as POSCAR:
```
HgGe3Rh
1.0
4.961 0.000 0.000
0.000 4.961 0.000
0.000 0.000 4.961
Ge Rh Hg
3 1 1
Direct
0.000 0.000 0.500 Ge
0.000 0.500 0.000 Ge
0.500 0.000 0.000 Ge
0.500 0.500 0.500 Rh
0.000 0.000 0.000 Hg
```

## Properties
DFT formation energy ... 1.398 eV per atom
N(E_F) ... 4.41 states/eV per cell
Space-group type ... Pm-3m